w.
The following is a DFT calculation (GGA-PBE) of a geometry-optimized Sn2HgS2 structure.

Computed properties:
Symmetry = I4/mmm (139)
DOS at the Fermi energy = 0.000 states/eV/f.u.
Volume = 30.3 Å³/atom

a = 4.8548 Å, b = 4.8548 Å, c = 7.2914 Å
α = 70.55°, β = 70.55°, γ = 90.00°
Sites, in units of the cell vectors:
Hg (0.0000, 0.0000, 0.0000)
S (0.2500, 0.7500, 0.5000)
Sn (0.3469, 0.3469, 0.3062)
S (0.7500, 0.2500, 0.5000)
Sn (0.6531, 0.6531, 0.6938)

x.
The following is a DFT calculation (GGA-PBE) of a geometry-optimized Sn2HgS2 structure.

Computed properties:
Symmetry = P2_1/c (14)
Volume = 29.3 Å³/atom

a = 6.3958 Å, b = 9.0369 Å, c = 10.9249 Å
α = 90.00°, β = 111.83°, γ = 90.00°
Sites, in units of the cell vectors:
Sn (0.7246, 0.4185, 0.9451)
Hg (0.7561, 0.7667, 0.8322)
S (0.7868, 0.0430, 0.3370)
S (0.3343, 0.8654, 0.0385)
S (0.8343, 0.6346, 0.5385)
Hg (0.2439, 0.2333, 0.1678)
Sn (0.2655, 0.6082, 0.6197)
S (0.6657, 0.1346, 0.9615)
Sn (0.7345, 0.3918, 0.3803)
S (0.7132, 0.5430, 0.1630)
Sn (0.2345, 0.1082, 0.8803)
Sn (0.7754, 0.9185, 0.5549)
S (0.1657, 0.3654, 0.4615)
Hg (0.7439, 0.2667, 0.6678)
S (0.2132, 0.9570, 0.6630)
Sn (0.7655, 0.8918, 0.1197)
S (0.2868, 0.4570, 0.8370)
Sn (0.2754, 0.5815, 0.0549)
Hg (0.2561, 0.7333, 0.3322)
Sn (0.2246, 0.0815, 0.4451)

Each structure's energy above the most stable one, in kJ/mol of atoms: w 2.6; x 0.0.

w.
The following is a DFT calculation (GGA-PBE) of a geometry-optimized Sn2HgS2 structure.

Computed properties:
Symmetry = P4/mbm (127)
DOS at the Fermi energy = 0.392 states/eV/f.u.
Volume = 26.6 Å³/atom

a = 8.3839 Å, b = 8.3839 Å, c = 3.7859 Å
α = 90.00°, β = 90.00°, γ = 90.00°
Sites, in units of the cell vectors:
S (0.1816, 0.6816, 0.5000)
S (0.8184, 0.3184, 0.5000)
S (0.6816, 0.8184, 0.5000)
Sn (0.6660, 0.1660, 0.0000)
S (0.3184, 0.1816, 0.5000)
Hg (0.5000, 0.5000, 0.0000)
Sn (0.1660, 0.3340, 0.0000)
Sn (0.8340, 0.6660, 0.0000)
Hg (0.0000, 0.0000, 0.0000)
Sn (0.3340, 0.8340, 0.0000)

x.
The following is a DFT calculation (GGA-PBE) of a geometry-optimized Sn2HgS2 structure.

Computed properties:
Symmetry = P4/mbm (127)
DOS at the Fermi energy = 0.700 states/eV/f.u.
Volume = 25.6 Å³/atom

a = 8.3172 Å, b = 8.3172 Å, c = 3.6940 Å
α = 90.00°, β = 90.00°, γ = 90.00°
Sites, in units of the cell vectors:
S (0.3388, 0.8388, 0.0000)
Sn (0.1769, 0.6769, 0.5000)
Hg (0.5000, 0.5000, 0.0000)
Sn (0.8231, 0.3231, 0.5000)
Sn (0.3231, 0.1769, 0.5000)
S (0.6612, 0.1612, 0.0000)
Hg (0.0000, 0.0000, 0.0000)
Sn (0.6769, 0.8231, 0.5000)
S (0.8388, 0.6612, 0.0000)
S (0.1612, 0.3388, 0.0000)

Each structure's energy above the most stable one, in kJ/mol of atoms: w 0.0; x 7.4.

w.
The following is a DFT calculation (GGA-PBE) of a geometry-optimized SnHg3S structure.

Computed properties:
Symmetry = Pm-3m (221)
DOS at the Fermi energy = 2.132 states/eV/f.u.
Volume = 29.3 Å³/atom

a = 5.2697 Å, b = 5.2697 Å, c = 5.2697 Å
α = 90.00°, β = 90.00°, γ = 90.00°
Sites, in units of the cell vectors:
Sn (0.5000, 0.5000, 0.5000)
Hg (0.0000, 0.0000, 0.5000)
Hg (0.0000, 0.5000, 0.0000)
S (0.0000, 0.0000, 0.0000)
Hg (0.5000, 0.0000, 0.0000)

x.
The following is a DFT calculation (GGA-PBE) of a geometry-optimized SnHg3S structure.

Computed properties:
Symmetry = Pm-3m (221)
DOS at the Fermi energy = 10.386 states/eV/f.u.
Volume = 34.2 Å³/atom

a = 5.5507 Å, b = 5.5507 Å, c = 5.5507 Å
α = 90.00°, β = 90.00°, γ = 90.00°
Site moments in Bohr magnetons follow the coordinates.
Sites, in units of the cell vectors:
Sn (0.0000, 0.0000, 0.0000)  0.04
Hg (0.5000, 0.0000, 0.0000)  0.00
S (0.5000, 0.5000, 0.5000)  0.49
Hg (0.0000, 0.0000, 0.5000)  0.01
Hg (0.0000, 0.5000, 0.0000)  0.01

Each structure's energy above the most stable one, in kJ/mol of atoms: w 0.0; x 2.5.

w.
The following is a DFT calculation (GGA-PBE) of a geometry-optimized SnHgS3 structure.

Computed properties:
Symmetry = Amm2 (38)
DOS at the Fermi energy = 0.912 states/eV/f.u.
Volume = 33.7 Å³/atom

a = 3.8188 Å, b = 7.0440 Å, c = 7.1840 Å
α = 119.36°, β = 90.00°, γ = 90.00°
Sites, in units of the cell vectors:
Sn (0.0000, 0.5811, 0.1622)
S (0.5000, 0.7969, 0.1094)
S (0.5000, 0.3124, 0.1094)
Hg (0.5000, 0.9043, 0.8085)
S (0.0000, 0.7772, 0.5545)

x.
The following is a DFT calculation (GGA-PBE) of a geometry-optimized SnHgS3 structure.

Computed properties:
Symmetry = P2_1/m (11)
DOS at the Fermi energy = 0.034 states/eV/f.u.
Volume = 25.5 Å³/atom

a = 3.8594 Å, b = 9.5525 Å, c = 6.9392 Å
α = 95.30°, β = 90.00°, γ = 90.00°
Sites, in units of the cell vectors:
S (0.2500, 0.3164, 0.4639)
Hg (0.7500, 0.6941, 0.8895)
Sn (0.2500, 0.8370, 0.4125)
S (0.2500, 0.0095, 0.7220)
S (0.2500, 0.6595, 0.1148)
Sn (0.7500, 0.1630, 0.5875)
Hg (0.2500, 0.3059, 0.1105)
S (0.7500, 0.6836, 0.5361)
S (0.7500, 0.3405, 0.8852)
S (0.7500, 0.9905, 0.2780)

y.
The following is a DFT calculation (GGA-PBE) of a geometry-optimized SnHgS3 structure.

Computed properties:
Symmetry = Pm-3m (221)
DOS at the Fermi energy = 5.782 states/eV/f.u.
Volume = 25.4 Å³/atom

a = 5.0269 Å, b = 5.0269 Å, c = 5.0269 Å
α = 90.00°, β = 90.00°, γ = 90.00°
Sites, in units of the cell vectors:
Sn (0.0000, 0.0000, 0.0000)
Hg (0.5000, 0.5000, 0.5000)
S (0.5000, 0.0000, 0.0000)
S (0.0000, 0.0000, 0.5000)
S (0.0000, 0.5000, 0.0000)

Each structure's energy above the most stable one, in kJ/mol of atoms: w 15.8; x 0.0; y 61.6.

w.
The following is a DFT calculation (GGA-PBE) of a geometry-optimized SrHgS3 structure.

Computed properties:
Symmetry = Pm-3m (221)
DOS at the Fermi energy = 3.318 states/eV/f.u.
Volume = 38.3 Å³/atom

a = 5.7641 Å, b = 5.7641 Å, c = 5.7641 Å
α = 90.00°, β = 90.00°, γ = 90.00°
Site moments in Bohr magnetons follow the coordinates.
Sites, in units of the cell vectors:
S (0.0000, 0.0000, 0.5000)  0.77
Hg (0.5000, 0.5000, 0.5000)  0.18
S (0.0000, 0.5000, 0.0000)  0.80
S (0.5000, 0.0000, 0.0000)  0.65
Sr (0.0000, 0.0000, 0.0000)  -0.01

x.
The following is a DFT calculation (GGA-PBE) of a geometry-optimized SrHgS3 structure.

Computed properties:
Symmetry = Pm-3m (221)
DOS at the Fermi energy = 4.354 states/eV/f.u.
Volume = 25.5 Å³/atom

a = 5.0354 Å, b = 5.0354 Å, c = 5.0354 Å
α = 90.00°, β = 90.00°, γ = 90.00°
Sites, in units of the cell vectors:
Hg (0.0000, 0.0000, 0.0000)
S (0.0000, 0.5000, 0.0000)
Sr (0.5000, 0.5000, 0.5000)
S (0.5000, 0.0000, 0.0000)
S (0.0000, 0.0000, 0.5000)

Each structure's energy above the most stable one, in kJ/mol of atoms: w 56.8; x 0.0.

w.
The following is a DFT calculation (GGA-PBE) of a geometry-optimized Sr2HgS2 structure.

Computed properties:
Symmetry = I4/mmm (139)
DOS at the Fermi energy = 0.000 states/eV/f.u.
Volume = 39.3 Å³/atom

a = 5.6124 Å, b = 5.6124 Å, c = 7.3937 Å
α = 67.69°, β = 67.69°, γ = 90.00°
Sites, in units of the cell vectors:
S (0.6896, 0.6896, 0.6208)
Hg (0.0000, 0.0000, 0.0000)
Sr (0.7500, 0.2500, 0.5000)
S (0.3104, 0.3104, 0.3792)
Sr (0.2500, 0.7500, 0.5000)

x.
The following is a DFT calculation (GGA-PBE) of a geometry-optimized Sr2HgS2 structure.

Computed properties:
Symmetry = P4/mbm (127)
DOS at the Fermi energy = 0.416 states/eV/f.u.
Volume = 26.7 Å³/atom

a = 8.3759 Å, b = 8.3759 Å, c = 3.8047 Å
α = 90.00°, β = 90.00°, γ = 90.00°
Sites, in units of the cell vectors:
S (0.3529, 0.8529, 0.0000)
Hg (0.5000, 0.5000, 0.0000)
Sr (0.8459, 0.3459, 0.5000)
Sr (0.1541, 0.6541, 0.5000)
S (0.8529, 0.6471, 0.0000)
Sr (0.6541, 0.8459, 0.5000)
Sr (0.3459, 0.1541, 0.5000)
S (0.6471, 0.1471, 0.0000)
Hg (0.0000, 0.0000, 0.0000)
S (0.1471, 0.3529, 0.0000)

Each structure's energy above the most stable one, in kJ/mol of atoms: w 7.9; x 0.0.

w.
The following is a DFT calculation (GGA-PBE) of a geometry-optimized SrHg3S structure.

Computed properties:
Symmetry = Pm-3m (221)
DOS at the Fermi energy = 2.718 states/eV/f.u.
Volume = 31.1 Å³/atom

a = 5.3754 Å, b = 5.3754 Å, c = 5.3754 Å
α = 90.00°, β = 90.00°, γ = 90.00°
Sites, in units of the cell vectors:
Hg (0.0000, 0.0000, 0.5000)
Hg (0.0000, 0.5000, 0.0000)
Hg (0.5000, 0.0000, 0.0000)
S (0.0000, 0.0000, 0.0000)
Sr (0.5000, 0.5000, 0.5000)

x.
The following is a DFT calculation (GGA-PBE) of a geometry-optimized SrHg3S structure.

Computed properties:
Symmetry = Pm-3m (221)
DOS at the Fermi energy = 5.903 states/eV/f.u.
Volume = 48.2 Å³/atom

a = 6.2219 Å, b = 6.2219 Å, c = 6.2219 Å
α = 90.00°, β = 90.00°, γ = 90.00°
Site moments in Bohr magnetons follow the coordinates.
Sites, in units of the cell vectors:
Hg (0.5000, 0.0000, 0.0000)  0.01
Hg (0.0000, 0.5000, 0.0000)  0.01
Hg (0.0000, 0.0000, 0.5000)  0.01
S (0.5000, 0.5000, 0.5000)  -0.44
Sr (0.0000, 0.0000, 0.0000)  0.03

Each structure's energy above the most stable one, in kJ/mol of atoms: w 0.0; x 39.5.

w.
The following is a DFT calculation (GGA-PBE) of a geometry-optimized TbHgS2 structure.

Computed properties:
Symmetry = R-3m (166)
DOS at the Fermi energy = 3.567 states/eV/f.u.
Volume = 28.3 Å³/atom

a = 4.0235 Å, b = 4.0235 Å, c = 8.3922 Å
α = 76.13°, β = 76.13°, γ = 60.00°
Sites, in units of the cell vectors:
S (0.8936, 0.8936, 0.3192)
Hg (0.5000, 0.5000, 0.5000)
S (0.1064, 0.1064, 0.6808)
Tb (0.0000, 0.0000, 0.0000)

x.
The following is a DFT calculation (GGA-PBE) of a geometry-optimized TbHgS2 structure.

Computed properties:
Symmetry = R3m (160)
DOS at the Fermi energy = 2.983 states/eV/f.u.
Volume = 24.9 Å³/atom

a = 4.0512 Å, b = 4.0512 Å, c = 7.3892 Å
α = 74.09°, β = 74.09°, γ = 60.00°
Sites, in units of the cell vectors:
S (0.2644, 0.2644, 0.2068)
Tb (0.6656, 0.6656, 0.0032)
S (0.0707, 0.0707, 0.7878)
Hg (0.4993, 0.4993, 0.5022)

Each structure's energy above the most stable one, in kJ/mol of atoms: w 85.2; x 0.0.